This record from OQMD via LeMat-Bulk describes an optimized crystal structure of Ac2Si3Pt. The functional is GGA-PBE.

Computed properties:
Uncorrected energy: -6.0192 eV per atom
Calculated volume: 23.7 A^3/atom
Theoretical density: 8.562 g/cm3

Cell: 8.4219 9.2781 14.5619 Å, 90.00 90.00 90.00°
Space group Fmmm (No. 69)
Asymmetric unit:
Ac1 0.0000 0.2484 0.0000 (multiplicity 8)
Ac2 0.2500 0.2500 0.2500 (multiplicity 8)
Si1 0.0000 0.0000 0.1655 (multiplicity 8)
Si2 0.2490 0.0000 0.0830 (multiplicity 16)
Pt1 0.0000 0.0000 0.3328 (multiplicity 8)